CaMgSi2 after structural relaxation, computed with GGA-PBE.

Unit cell a=6.231 b=6.231 c=4.306 alpha=69.77 beta=69.77 gamma=34.29
Sites, in units of the cell vectors:
Ca 0.472 0.472 0.528
Mg 0.233 0.233 0.267
Si 0.074 0.074 0.926
Si 0.721 0.721 0.779

- space group = Imm2, No. 44
- formation energy (no corrections) (eV per atom) = -0.169
- E (eV/atom) = -3.779
- mass density (g/cm³) = 2.28